RbMn2PdBr8 (GGA-PBE, optimized geometry); raw formation energy = -737 meV per atom; density of states at the Fermi level = 10.10 states/eV per cell; theoretical density = 4.015 g/cm3; space-group type = P-3, No. 147
1.0
6.8001 0.0000 0.0000
-3.4001 5.8891 0.0000
0.0000 0.0000 9.7179
Rb Mn Pd Br
1 2 1 8
Direct
0.0000 0.0000 0.0000
0.3333 0.6667 0.7245
0.6667 0.3333 0.2755
0.0000 0.0000 0.5000
0.0104 0.6973 0.3399
0.3027 0.3131 0.3399
0.3131 0.0104 0.6601
0.3333 0.6667 0.9725
0.6667 0.3333 0.0275
0.6869 0.9896 0.3399
0.6973 0.6869 0.6601
0.9896 0.3027 0.6601

BaLaZr2 (GGA-PBE, optimized geometry); energy above the most stable polymorph in this dataset = 0 meV per atom; density of states at the Fermi level = 5.82 states/eV per cell; theoretical density = 5.951 g/cm3; space-group type = P4mm, No. 99; formation energy from the elements = 0.28 eV/atom
1.0
3.4280 0.0000 0.0000
0.0000 3.4280 0.0000
0.0000 0.0000 10.8922
Ba La Zr
1 1 2
Direct
0.0000 0.0000 0.0000
0.5000 0.5000 0.3133
0.0000 0.0000 0.5398
0.5000 0.5000 0.7226

Ba3Ac3YTe8 (GGA-PBE, optimized geometry); raw formation energy = -1614 meV per atom; density of states at the Fermi level = 5.46 states/eV per cell; theoretical density = 5.771 g/cm3; space-group type = R-3m, No. 166
1.0
4.7530 2.7441 8.0991
-4.7530 2.7441 8.0991
0.0000 -5.4883 8.0991
Ba Ac Y Te
3 3 1 8
Direct
0.0000 0.5000 0.5000
0.5000 0.0000 0.5000
0.5000 0.5000 0.0000
0.0000 0.0000 0.5000
0.0000 0.5000 0.0000
0.5000 0.0000 0.0000
0.5000 0.5000 0.5000
0.2460 0.2460 0.2460
0.2578 0.7324 0.7324
0.2676 0.2676 0.7422
0.2676 0.7422 0.2676
0.7324 0.2578 0.7324
0.7324 0.7324 0.2578
0.7422 0.2676 0.2676
0.7540 0.7540 0.7540

BaSrPb2 (GGA-PBE, optimized geometry); density of states at the Fermi level = 1.27 states/eV per cell; theoretical density = 7.196 g/cm3; space-group type = Pmmm, No. 47; formation energy from the elements = -0.53 eV/atom
1.0
3.9063 0.0000 0.0000
0.0000 4.8396 0.0000
0.0000 0.0000 7.8040
Ba Sr Pb
1 1 2
Direct
0.0000 0.0000 0.0000
0.0000 0.0000 0.5000
0.5000 0.5000 0.2817
0.5000 0.5000 0.7183

Which of these has the highest density of states at the Fermi level?
RbMn2PdBr8

Which of these has the lowest density of states at the Fermi level?
BaSrPb2

What is the formula in the fourth record?
BaSrPb2